Entry 1:
# CaNbCoN3 PBE relaxed
# - energy relative to the elements, uncorrected (eV/atom) = -0.658
# - density (g/cm³) = 5.1
data_CaNbCoN3
_chemical_formula_sum 'Ca2 Nb2 Co2 N6'
_space_group_name_H-M_alt 'P 1 21/m 1'
_space_group_IT_number 11
_space_group_name_Hall '-P 2yb'
_cell_length_a 6.735
_cell_length_b 3.150
_cell_length_c 7.400
_cell_angle_alpha 90.00
_cell_angle_beta 104.65
_cell_angle_gamma 90.00
loop_
_atom_site_label
_atom_site_type_symbol
_atom_site_fract_x
_atom_site_fract_y
_atom_site_fract_z
_atom_site_occupancy
Ca1 Ca 0.188 0.250 0.210 1
Nb1 Nb 0.333 0.750 0.854 1
Co1 Co 0.099 0.250 0.596 1
N1 N 0.124 0.250 0.863 1
N2 N 0.194 0.750 0.509 1
N3 N 0.436 0.750 0.143 1

Entry 2:
# Sn2Hg5Pb2 PBE relaxed
# - density (g/cm³) = 10.6
# - energy relative to the elements (meV/atom) = 63.3
data_Sn2Hg5Pb2
_chemical_formula_sum 'Sn4 Hg10 Pb4'
_space_group_name_H-M_alt 'C 1 2/m 1'
_space_group_IT_number 12
_space_group_name_Hall '-C 2y'
_cell_length_a 18.742
_cell_length_b 4.318
_cell_length_c 6.443
_cell_angle_alpha 90.00
_cell_angle_beta 94.81
_cell_angle_gamma 90.00
loop_
_atom_site_label
_atom_site_type_symbol
_atom_site_fract_x
_atom_site_fract_y
_atom_site_fract_z
_atom_site_occupancy
Sn1 Sn 0.212 0.000 0.369 1
Hg1 Hg 0.000 0.000 0.000 1
Hg2 Hg 0.052 0.500 0.326 1
Hg3 Hg 0.102 0.000 0.670 1
Pb1 Pb 0.174 0.500 0.003 1

Entry 3:
# LiLaMg3 PBE relaxed
# - ΔE to the lowest computed polymorph (meV per atom) = 0
# - density (g/cm³) = 2.9
# - energy relative to the elements (meV/atom) = 29.8
data_LiLaMg3
_chemical_formula_sum 'Li1 La1 Mg3'
_space_group_name_H-M_alt 'P m -3 m'
_space_group_IT_number 221
_space_group_name_Hall '-P 4 2 3'
_cell_length_a 5.019
_cell_length_b 5.019
_cell_length_c 5.019
_cell_angle_alpha 90.00
_cell_angle_beta 90.00
_cell_angle_gamma 90.00
loop_
_atom_site_label
_atom_site_type_symbol
_atom_site_fract_x
_atom_site_fract_y
_atom_site_fract_z
_atom_site_occupancy
Li1 Li 0.000 0.000 0.000 1
La1 La 0.500 0.500 0.500 1
Mg1 Mg 0.000 0.000 0.500 1

Entry 4:
# KPa3Tc4N12 PBE relaxed
# - energy relative to the elements, uncorrected (eV/atom) = -0.313
# - density (g/cm³) = 6.1
data_KPa3Tc4N12
_chemical_formula_sum 'K3 Pa9 Tc12 N36'
_space_group_name_H-M_alt 'R 3 2'
_space_group_IT_number 155
_space_group_name_Hall 'R 3 2"'
_cell_length_a 11.4625
_cell_length_b 11.4625
_cell_length_c 9.2922
_cell_angle_alpha 90.00
_cell_angle_beta 90.00
_cell_angle_gamma 120.00
loop_
_atom_site_label
_atom_site_type_symbol
_atom_site_fract_x
_atom_site_fract_y
_atom_site_fract_z
_atom_site_occupancy
K1 K 0.0000 0.0000 0.0000 1
Pa1 Pa 0.0000 0.5612 0.0000 1
Tc1 Tc 0.0000 0.0000 0.5000 1
Tc2 Tc 0.0000 0.4377 0.5000 1
N1 N 0.0000 0.6001 0.5000 1
N2 N 0.0000 0.8408 0.5000 1
N3 N 0.0483 0.2275 0.1922 1

Entry 5:
# InPd2W PBE relaxed
# - density (g/cm³) = 11.6
# - energy relative to the elements (meV/atom) = 499.3
data_InPd2W
_chemical_formula_sum 'In4 Pd8 W4'
_space_group_name_H-M_alt 'I -4 2 d'
_space_group_IT_number 122
_space_group_name_Hall 'I -4 2bw'
_cell_length_a 4.006
_cell_length_b 4.006
_cell_length_c 18.281
_cell_angle_alpha 90.00
_cell_angle_beta 90.00
_cell_angle_gamma 90.00
loop_
_atom_site_label
_atom_site_type_symbol
_atom_site_fract_x
_atom_site_fract_y
_atom_site_fract_z
_atom_site_occupancy
In1 In 0.000 0.000 0.000 1
Pd1 Pd 0.240 0.250 0.625 1
W1 W 0.000 0.000 0.500 1

Entry 6:
# TbPr6Nd8 PBE relaxed
# - ΔE to the lowest computed polymorph (meV per atom) = 0
# - density (g/cm³) = 6.7
# - energy relative to the elements (meV/atom) = 106.9
data_TbPr6Nd8
_chemical_formula_sum 'Tb3 Pr18 Nd24'
_space_group_name_H-M_alt 'R -3'
_space_group_IT_number 148
_space_group_name_Hall '-R 3'
_cell_length_a 9.3607
_cell_length_b 9.3607
_cell_length_c 21.2378
_cell_angle_alpha 90.00
_cell_angle_beta 90.00
_cell_angle_gamma 120.00
loop_
_atom_site_label
_atom_site_type_symbol
_atom_site_fract_x
_atom_site_fract_y
_atom_site_fract_z
_atom_site_occupancy
Tb1 Tb 0.0000 0.0000 0.0000 1
Pr1 Pr 0.0531 0.2474 0.7080 1
Nd1 Nd 0.0000 0.0000 0.4226 1
Nd2 Nd 0.0803 0.5585 0.8067 1

Entry 7:
# Cs3TlTc PBE relaxed
# - ΔE to the lowest computed polymorph (meV per atom) = 0
# - density (g/cm³) = 5.2
# - energy relative to the elements (meV/atom) = 1169.3
data_Cs3TlTc
_chemical_formula_sum 'Cs3 Tl1 Tc1'
_space_group_name_H-M_alt 'P m -3 m'
_space_group_IT_number 221
_space_group_name_Hall '-P 4 2 3'
_cell_length_a 6.070
_cell_length_b 6.070
_cell_length_c 6.070
_cell_angle_alpha 90.00
_cell_angle_beta 90.00
_cell_angle_gamma 90.00
loop_
_atom_site_label
_atom_site_type_symbol
_atom_site_fract_x
_atom_site_fract_y
_atom_site_fract_z
_atom_site_occupancy
Cs1 Cs 0.000 0.000 0.500 1
Tl1 Tl 0.500 0.500 0.500 1
Tc1 Tc 0.000 0.000 0.000 1

Entry 8:
# CdInTe2 PBE relaxed
# - energy relative to the elements, uncorrected (eV/atom) = 0.108
# - density (g/cm³) = 7.1
data_CdInTe2
_chemical_formula_sum 'Cd4 In4 Te8'
_space_group_name_H-M_alt 'F -4 3 m'
_space_group_IT_number 216
_space_group_name_Hall 'F -4 2 3'
_cell_length_a 7.681
_cell_length_b 7.681
_cell_length_c 7.681
_cell_angle_alpha 90.00
_cell_angle_beta 90.00
_cell_angle_gamma 90.00
loop_
_atom_site_label
_atom_site_type_symbol
_atom_site_fract_x
_atom_site_fract_y
_atom_site_fract_z
_atom_site_occupancy
Cd1 Cd 0.000 0.000 0.000 1
In1 In 0.250 0.250 0.750 1
Te1 Te 0.000 0.000 0.500 1
Te2 Te 0.250 0.250 0.250 1

Entry 9:
# NaUAu2 PBE relaxed
# - density (g/cm³) = 12.4
# - energy relative to the elements (meV/atom) = -130.0
data_NaUAu2
_chemical_formula_sum 'Na1 U1 Au2'
_space_group_name_H-M_alt 'P 4/m m m'
_space_group_IT_number 123
_space_group_name_Hall '-P 4 2'
_cell_length_a 3.216
_cell_length_b 3.216
_cell_length_c 8.509
_cell_angle_alpha 90.00
_cell_angle_beta 90.00
_cell_angle_gamma 90.00
loop_
_atom_site_label
_atom_site_type_symbol
_atom_site_fract_x
_atom_site_fract_y
_atom_site_fract_z
_atom_site_occupancy
Na1 Na 0.000 0.000 0.000 1
U1 U 0.000 0.000 0.500 1
Au1 Au 0.500 0.500 0.254 1

Entry 10:
# HoErAs PBE relaxed
# - ΔE to the lowest computed polymorph (meV per atom) = 0
# - density (g/cm³) = 7.9
# - energy relative to the elements (meV/atom) = -846.0
data_HoErAs
_chemical_formula_sum 'Ho1 Er1 As1'
_space_group_name_H-M_alt 'P 3 m 1'
_space_group_IT_number 156
_space_group_name_Hall 'P 3 -2"'
_cell_length_a 3.9519
_cell_length_b 3.9519
_cell_length_c 6.3597
_cell_angle_alpha 90.00
_cell_angle_beta 90.00
_cell_angle_gamma 120.00
loop_
_atom_site_label
_atom_site_type_symbol
_atom_site_fract_x
_atom_site_fract_y
_atom_site_fract_z
_atom_site_occupancy
Ho1 Ho 0.0000 0.0000 0.0000 1
Er1 Er 0.6667 0.3333 0.4787 1
As1 As 0.3333 0.6667 0.7382 1

Entry 11:
# AgAu PBE relaxed
# - density (g/cm³) = 14.1
# - energy relative to the elements (meV/atom) = -19.8
data_AgAu
_chemical_formula_sum 'Ag4 Au4'
_space_group_name_H-M_alt 'C m m e'
_space_group_IT_number 67
_space_group_name_Hall '-C 2a 2'
_cell_length_a 4.030
_cell_length_b 4.228
_cell_length_c 8.433
_cell_angle_alpha 90.00
_cell_angle_beta 90.00
_cell_angle_gamma 90.00
loop_
_atom_site_label
_atom_site_type_symbol
_atom_site_fract_x
_atom_site_fract_y
_atom_site_fract_z
_atom_site_occupancy
Ag1 Ag 0.000 0.250 0.125 1
Au1 Au 0.000 0.250 0.627 1

Entry 12:
# Sm2Dy2S3 PBE relaxed
# - energy relative to the elements, uncorrected (eV/atom) = -1.719
# - density (g/cm³) = 7.1
data_Sm2Dy2S3
_chemical_formula_sum 'Sm2 Dy2 S3'
_space_group_name_H-M_alt 'P -1'
_space_group_IT_number 2
_space_group_name_Hall '-P 1'
_cell_length_a 3.890
_cell_length_b 6.764
_cell_length_c 6.829
_cell_angle_alpha 99.21
_cell_angle_beta 90.01
_cell_angle_gamma 106.69
loop_
_atom_site_label
_atom_site_type_symbol
_atom_site_fract_x
_atom_site_fract_y
_atom_site_fract_z
_atom_site_occupancy
Sm1 Sm 0.126 0.250 0.380 1
Dy1 Dy 0.372 0.745 0.118 1
S1 S 0.000 0.000 0.000 1
S2 S 0.250 0.500 0.758 1